MnCoPtO6 after structural relaxation, computed with PBE with a Hubbard U.

```
MnCoPtO6
1.0
4.993 0.000 0.000
-2.496 4.324 0.000
0.000 0.000 8.623
Mn Co Pt O
2 2 2 12
direct
0.000 0.000 0.000
0.000 0.000 0.500
0.333 0.667 0.250
0.667 0.333 0.750
0.333 0.667 0.750
0.667 0.333 0.250
0.015 0.358 0.127
0.015 0.657 0.373
0.343 0.358 0.373
0.343 0.985 0.127
0.358 0.015 0.627
0.358 0.343 0.873
0.642 0.657 0.127
0.642 0.985 0.373
0.657 0.015 0.873
0.657 0.642 0.627
0.985 0.343 0.627
0.985 0.642 0.873
```

Output
DOS(E_F): 5.31 states/eV/f.u.
VASP energy: -6.13 eV/atom
M_tot: 3.90 μB/cell